Entry 1:
Crystalline Li6PS5I at its relaxed geometry, computed with PBEsol.

a b c (Å): 7.163 7.163 12.113
angles (deg): 73.42 73.42 59.99
Atoms (fractional coordinates):
Li1 0.826 0.803 0.117
Li2 0.436 0.527 0.353
Li3 0.459 0.957 0.947
Li4 0.315 0.675 0.607
Li5 0.302 0.279 0.618
S1 0.203 0.168 0.325
S2 0.697 0.675 0.820
Li6 0.803 0.826 0.617
S3 0.617 0.129 0.001
Li7 0.279 0.302 0.118
S4 0.680 0.163 0.315
I1 0.258 0.724 0.135
Li8 0.527 0.436 0.853
S5 0.675 0.697 0.320
S6 0.168 0.203 0.825
Li9 0.048 0.920 0.350
I2 0.724 0.258 0.635
S7 0.163 0.680 0.815
Li10 0.675 0.315 0.107
Li11 0.957 0.459 0.447
P1 0.501 0.991 0.379
Li12 0.920 0.048 0.850
S8 0.932 0.456 0.058
S9 0.129 0.617 0.501
S10 0.456 0.932 0.558
P2 0.991 0.501 0.879

Polymorph energy (0 for the lowest one) ... 0.000 eV/atom
Space-group type ... Cc (9)
E_form (uncorrected) ... -1.082 eV/atom

=====

Entry 2:
Crystalline Sc2AlIrN at its relaxed geometry, computed with PBEsol.

a b c (Å): 3.773 4.358 4.358
angles (deg): 90.00 90.00 90.00
Atoms (fractional coordinates):
Ir1 0.500 0.500 0.500
Sc1 0.000 0.000 0.500
Al1 0.500 0.000 0.000
Sc2 0.000 0.500 0.000
N1 0.000 0.000 0.000

Space-group type ... P4/mmm (123)
E_form (uncorrected) ... -1.117 eV/atom

=====

Entry 3:
Crystalline Rb2NaAl3F12 at its relaxed geometry, computed with PBEsol.

a b c (Å): 7.007 7.073 9.838
angles (deg): 90.73 90.00 90.00
Atoms (fractional coordinates):
F1 0.536 0.862 0.646
F2 0.250 0.511 0.634
Rb1 0.750 0.527 0.640
F3 0.750 0.079 0.504
F4 0.250 0.091 0.822
Rb2 0.250 0.001 0.112
F5 0.959 0.271 0.063
F6 0.041 0.729 0.937
F7 0.250 0.921 0.496
F8 0.063 0.206 0.609
F9 0.036 0.138 0.354
F10 0.464 0.138 0.354
Na1 0.250 0.787 0.757
Al1 0.250 0.297 0.725
Al2 0.000 0.500 0.000
Al3 0.000 0.000 0.500
F11 0.541 0.271 0.063
F12 0.437 0.206 0.609
Na2 0.750 0.213 0.243
F13 0.937 0.794 0.391
F14 0.442 0.398 0.832
F15 0.459 0.729 0.937
Al4 0.500 0.000 0.500
F16 0.250 0.483 0.057
Rb3 0.750 0.999 0.888
F17 0.964 0.862 0.646
F18 0.750 0.909 0.178
F19 0.750 0.517 0.943
F20 0.563 0.794 0.391
Al5 0.750 0.703 0.275
F21 0.058 0.398 0.832
Rb4 0.250 0.473 0.360
Al6 0.500 0.500 0.000
F22 0.750 0.489 0.366
F23 0.942 0.602 0.168
F24 0.558 0.602 0.168

Space-group type ... P2_1/m (11)
E_form (uncorrected) ... -3.389 eV/atom

=====

Entry 4:
Crystalline Te2OsAu at its relaxed geometry, computed with PBEsol.

a b c (Å): 3.112 3.112 8.980
angles (deg): 90.00 90.00 90.00
Atoms (fractional coordinates):
Au1 0.000 0.000 0.540
Os1 0.500 0.500 0.751
Te1 0.000 0.000 0.917
Te2 0.500 0.500 0.291

Polymorph energy (0 for the lowest one) ... 0.037 eV/atom
Space-group type ... P4mm (99)
E_form (uncorrected) ... 0.413 eV/atom

=====

Entry 5:
Crystalline Sb2WAu at its relaxed geometry, computed with PBEsol.

a b c (Å): 3.179 4.705 5.335
angles (deg): 90.00 90.00 90.00
Atoms (fractional coordinates):
W1 0.500 0.500 0.000
Sb1 0.000 0.000 0.000
Au1 0.000 0.500 0.500
Sb2 0.500 0.000 0.500

Polymorph energy (0 for the lowest one) ... 0.410 eV/atom
Space-group type ... Pmmm (47)
E_form (uncorrected) ... 0.741 eV/atom

=====

Entry 6:
Crystalline NaFeN2 at its relaxed geometry, computed with PBEsol.

a b c (Å): 5.015 5.286 5.015
angles (deg): 61.68 90.00 118.32
Atoms (fractional coordinates):
N1 0.742 0.750 0.375
Na1 0.500 0.000 0.500
Na2 0.250 0.500 0.250
Fe1 0.000 0.000 0.000
N2 0.008 0.750 0.875
Fe2 0.750 0.500 0.750
N3 0.875 0.250 0.742
N4 0.375 0.250 0.008

Polymorph energy (0 for the lowest one) ... 0.000 eV/atom
Space-group type ... I-42d (122)
E_form (uncorrected) ... -0.136 eV/atom

=====

Entry 7:
Crystalline LaBeIn2 at its relaxed geometry, computed with PBEsol.

a b c (Å): 3.429 3.429 7.554
angles (deg): 90.00 90.00 90.00
Atoms (fractional coordinates):
Be1 0.500 0.500 0.500
In1 0.000 0.000 0.692
In2 0.000 0.000 0.308
La1 0.500 0.500 0.000

ΔE_f ... -0.0337 eV/atom
Space-group type ... P4/mmm (123)

=====

Entry 8:
Crystalline Y2CdHg at its relaxed geometry, computed with PBEsol.

a b c (Å): 5.192 5.192 5.192
angles (deg): 60.00 60.00 60.00
Atoms (fractional coordinates):
Hg1 0.500 0.500 0.500
Y1 0.750 0.750 0.750
Cd1 0.000 0.000 0.000
Y2 0.250 0.250 0.250

ΔE_f ... -0.4912 eV/atom
Polymorph energy (0 for the lowest one) ... 0.002 eV/atom
Space-group type ... Fm-3m (225)

=====

Entry 9:
Crystalline MgAlRe2 at its relaxed geometry, computed with PBEsol.

a b c (Å): 2.652 4.205 5.416
angles (deg): 90.00 90.00 90.00
Atoms (fractional coordinates):
Re1 0.000 0.000 0.762
Re2 0.000 0.000 0.238
Mg1 0.500 0.500 0.500
Al1 0.500 0.500 0.000

ΔE_f ... 0.2910 eV/atom
Polymorph energy (0 for the lowest one) ... 0.095 eV/atom
Space-group type ... Pmmm (47)

=====

Entry 10:
Crystalline TiOsI2O at its relaxed geometry, computed with PBEsol.

a b c (Å): 3.578 5.326 5.326
angles (deg): 90.00 90.00 90.00
Atoms (fractional coordinates):
I1 0.000 0.500 0.000
O1 0.500 0.000 0.000
I2 0.000 0.000 0.500
Ti1 0.000 0.000 0.000
Os1 0.500 0.500 0.500

Space-group type ... P4/mmm (123)
E_form (uncorrected) ... 0.176 eV/atom

=====

Entry 11:
Crystalline Ru2W at its relaxed geometry, computed with PBEsol.

a b c (Å): 2.736 5.141 6.430
angles (deg): 103.51 90.00 105.44
Atoms (fractional coordinates):
W1 0.726 0.451 0.950
W2 0.051 0.102 0.609
Ru1 0.000 0.000 0.002
Ru2 0.390 0.780 0.276
Ru3 0.668 0.336 0.333
Ru4 0.333 0.665 0.664

ΔE_f ... 0.0140 eV/atom
Space-group type ... Cm (8)

=====

Entry 12:
Crystalline CaAlAg2 at its relaxed geometry, computed with PBEsol.

a b c (Å): 4.528 4.528 5.409
angles (deg): 65.26 65.26 60.00
Atoms (fractional coordinates):
Al1 0.500 0.500 0.500
Ag1 0.791 0.791 0.626
Ca1 0.000 0.000 0.000
Ag2 0.209 0.209 0.374

ΔE_f ... -0.2557 eV/atom
Space-group type ... R-3m (166)

=====

Number 1: DFT total energy -0.1565 hartree per atom, Fermi-level density of states 0.00 states/eV/f.u.. Number 2: DFT total energy -0.3031 hartree per atom, Fermi-level density of states 1.76 states/eV/f.u.. Number 3: DFT total energy -0.2039 hartree per atom, Fermi-level density of states 0.00 states/eV/f.u.. Number 4: DFT total energy -0.1979 hartree per atom, Fermi-level density of states 2.29 states/eV/f.u.. Number 5: DFT total energy -0.2194 hartree per atom, Fermi-level density of states 3.05 states/eV/f.u.. Number 6: DFT total energy -0.2569 hartree per atom, Fermi-level density of states 1.67 states/eV/f.u.. Number 7: DFT total energy -0.1419 hartree per atom, Fermi-level density of states 2.79 states/eV/f.u.. Number 8: DFT total energy -0.1596 hartree per atom, Fermi-level density of states 4.03 states/eV/f.u.. Number 9: DFT total energy -0.2876 hartree per atom, Fermi-level density of states 3.37 states/eV/f.u.. Number 10: DFT total energy -0.2090 hartree per atom, Fermi-level density of states 4.88 states/eV/f.u.. Number 11: DFT total energy -0.4178 hartree per atom, Fermi-level density of states 2.27 states/eV/f.u.. Number 12: DFT total energy -0.1274 hartree per atom, Fermi-level density of states 1.47 states/eV/f.u..